DFT (GGA+U) results for an optimized crystal structure of MnCO3.

Total moment = 1.00 μB/atom
Raw total energy = -7.9090 eV per atom

a b c (Å): 4.8420 4.8420 15.8858
angles (deg): 90.00 90.00 120.00
Space group R-3c (No. 167, hexagonal axes)
Unique sites:
Mn: 0.0000 0.0000 0.0000 [6 per cell]
C: 0.0000 0.0000 0.2500 [6 per cell]
O: 0.0000 0.2683 0.2500 [18 per cell]

---

DFT (GGA+U) results for an optimized crystal structure of Mn3CO.

Total moment = 2.99 μB/atom
Energy relative to the lowest polymorph listed for this composition = 0.0 kJ/mol of atoms
Raw total energy = -6.9723 eV per atom

a b c (Å): 4.2250 4.2250 4.2250
angles (deg): 90.00 90.00 90.00
Space group Pm-3m (No. 221)
Unique sites:
Mn: 0.0000 0.0000 0.5000 [3 per cell]
C: 0.0000 0.0000 0.0000 [1 per cell]
O: 0.5000 0.5000 0.5000 [1 per cell]

---

DFT (GGA+U) results for an optimized crystal structure of Mn2C3O9.

Total moment = 0.57 μB/atom
Energy relative to the lowest polymorph listed for this composition = 0.7 kJ/mol of atoms
Raw total energy = -7.5981 eV per atom

a b c (Å): 12.4060 12.4060 8.6468
angles (deg): 90.00 90.00 120.00
Space group R3 (No. 146, hexagonal axes)
Unique sites:
Mn: 0.0000 0.0000 0.0000 [3 per cell]
Mn: 0.1316 0.4027 0.3496 [9 per cell]
C: 0.0105 0.2032 0.0508 [9 per cell]
C: 0.0501 0.8461 0.5324 [9 per cell]
O: 0.0116 0.3019 0.1004 [9 per cell]
O: 0.0659 0.1572 0.1291 [9 per cell]
O: 0.0670 0.5578 0.0791 [9 per cell]
O: 0.0871 0.1900 0.6546 [9 per cell]
O: 0.1812 0.7359 0.1956 [9 per cell]
O: 0.1875 0.0458 0.9250 [9 per cell]

---

DFT (GGA+U) results for an optimized crystal structure of MnCO3.

Total moment = 0.04 μB/atom
Raw total energy = -5.0733 eV per atom

a b c (Å): 3.5997 3.5997 3.5997
angles (deg): 90.00 90.00 90.00
Space group Pm-3m (No. 221)
Unique sites:
Mn: 0.0000 0.0000 0.0000 [1 per cell]
C: 0.5000 0.5000 0.5000 [1 per cell]
O: 0.0000 0.0000 0.5000 [3 per cell]

---

DFT (GGA+U) results for an optimized crystal structure of MnC2O.

Total moment = 0.76 μB/atom
Raw total energy = -5.9547 eV per atom

a b c (Å): 4.6516 4.6516 7.3724
angles (deg): 90.00 90.00 90.00
Space group I-42d (No. 122)
Unique sites:
Mn: 0.0000 0.0000 0.0000 [4 per cell]
C: 0.2026 0.2500 0.6250 [8 per cell]
O: 0.0000 0.0000 0.5000 [4 per cell]

---

DFT (GGA+U) results for an optimized crystal structure of Mn2C3O9.

Total moment = 0.57 μB/atom
Energy relative to the lowest polymorph listed for this composition = 0.0 kJ/mol of atoms
Raw total energy = -7.6057 eV per atom

a b c (Å): 7.3822 7.9818 7.9949
angles (deg): 60.40 85.24 89.73
Space group P-1 (No. 2)
Unique sites:
Mn: 0.0388 0.1730 0.1628 [2 per cell]
Mn: 0.4608 0.1682 0.1693 [2 per cell]
C: 0.2413 0.0794 0.8734 [2 per cell]
C: 0.2539 0.5397 0.0853 [2 per cell]
C: 0.2550 0.8691 0.5425 [2 per cell]
O: 0.0905 0.8140 0.6252 [2 per cell]
O: 0.0939 0.0531 0.8144 [2 per cell]
O: 0.1054 0.6232 0.0536 [2 per cell]
O: 0.2359 0.1607 0.9821 [2 per cell]
O: 0.2514 0.3494 0.1597 [2 per cell]
O: 0.2620 0.9861 0.3542 [2 per cell]
O: 0.3977 0.8119 0.6273 [2 per cell]
O: 0.4005 0.0446 0.8248 [2 per cell]
O: 0.4119 0.6218 0.0608 [2 per cell]